DFT (PBE) results for RbCdAg2 after structural relaxation. Values from VASP.

Structure (Quantum ESPRESSO input):
```
&SYSTEM
  ibrav = 0, nat = 16, ntyp = 3
/
ATOMIC_SPECIES
Rb 85.47 Rb.upf
Cd 112.41 Cd.upf
Ag 107.87 Ag.upf
ATOMIC_POSITIONS crystal
Rb 0.000 0.250 0.375
Rb 0.000 0.750 0.625
Rb 0.500 0.250 0.125
Rb 0.500 0.750 0.875
Cd 0.000 0.250 0.875
Cd 0.000 0.750 0.125
Cd 0.500 0.250 0.625
Cd 0.500 0.750 0.375
Ag 0.000 0.000 0.000
Ag 0.000 0.500 0.000
Ag 0.250 0.250 0.750
Ag 0.250 0.750 0.250
Ag 0.500 0.000 0.500
Ag 0.500 0.500 0.500
Ag 0.750 0.250 0.750
Ag 0.750 0.750 0.250
CELL_PARAMETERS angstrom
5.475 0.000 0.000
0.000 5.475 0.000
0.000 0.000 19.456
```

total DFT energy (no corrections) = -0.1331 Ry per atom
SG = I4_1/amd (141)
ΔH_f (0 K) = 0.08 eV/atom
magnetic moment = 0.00 μB/cell